A relaxed structure of Tc2Au. Source: Alexandria, functional PBE.

Cell: 4.6585 4.6585 2.6632 Å, 90.00 90.00 90.00°
Closest atoms and distances in Å follow each position.
Space group P4/mmm (No. 123)
Symmetry-distinct sites (fractional):
Tc1 0.0000 0.5000 0.0000 [2 per cell]  2 Tc 2.66, 4 Au 2.68
Au1 0.0000 0.0000 0.5000 [1 per cell]  2 Au 2.66, 8 Tc 2.68

Calculated values
Excess energy over the best structure of this formula in the dataset in meV/atom: 1283
Total magnetization in μB/f.u.: 0.00


A relaxed structure of CrIr. Source: Alexandria, functional PBE.

Cell: 2.6798 4.6205 4.9993 Å, 117.03 105.41 90.02°
Closest atoms and distances in Å follow each position.
Space group P-1 (No. 2)
Symmetry-distinct sites (fractional):
Cr1 0.1247 0.2923 0.2557 [2 per cell]  5 Cr 2.59-2.68, 7 Ir 2.61-2.70
Ir1 0.3786 0.2078 0.7577 [2 per cell]  5 Ir 2.61-2.68, 7 Cr 2.61-2.70

Calculated values
Raw total energy in eV per atom: -9.4119
Total magnetization in μB/f.u.: 0.00


A relaxed structure of PmNd2Cu3. Source: Alexandria, functional PBE.

Cell: 3.5736 3.5736 10.8082 Å, 90.00 90.00 90.00°
Closest atoms and distances in Å follow each position.
Space group P4/mmm (No. 123)
Symmetry-distinct sites (fractional):
Pm1 0.0000 0.0000 0.0000 [1 per cell]  8 Cu 3.08
Nd1 0.0000 0.0000 0.3324 [2 per cell]  8 Cu 3.11-3.12
Cu1 0.5000 0.5000 0.1630 [2 per cell]  4 Pm 3.08, 4 Nd 3.12
Cu2 0.5000 0.5000 0.5000 [1 per cell]  8 Nd 3.11

Calculated values
Excess energy over the best structure of this formula in the dataset in meV/atom: 0
Total magnetization in μB/f.u.: 0.00


A relaxed structure of DySc2Pa. Source: Alexandria, functional PBE.

Cell: 3.3253 3.3253 32.4948 Å, 90.00 90.00 120.00°
Closest atoms and distances in Å follow each position.
Space group R-3m (No. 166, hexagonal axes)
Symmetry-distinct sites (fractional):
Dy1 0.0000 0.0000 0.0000 [3 per cell]  6 Dy 3.33, 6 Sc 3.43
Sc1 0.0000 0.0000 0.2458 [6 per cell]  3 Pa 3.21, 6 Sc 3.33, 3 Dy 3.43
Pa1 0.0000 0.0000 0.5000 [3 per cell]  6 Sc 3.21, 6 Pa 3.33

Calculated values
Excess energy over the best structure of this formula in the dataset in meV/atom: 9
Total magnetization in μB/f.u.: 0.00


A relaxed structure of GaIr2C. Source: Alexandria, functional PBE.

Cell: 5.8803 5.8803 5.8803 Å, 90.00 90.00 90.00°
Closest atoms and distances in Å follow each position.
Space group Fm-3m (No. 225)
Symmetry-distinct sites (fractional):
Ga1 0.0000 0.0000 0.0000 [4 per cell]  8 Ir 2.55
Ir1 0.2500 0.2500 0.2500 [8 per cell]  4 C 2.55, 4 Ga 2.55
C1 0.0000 0.0000 0.5000 [4 per cell]  8 Ir 2.55

Calculated values
Excess energy over the best structure of this formula in the dataset in meV/atom: 930
Total magnetization in μB/f.u.: 0.00


A relaxed structure of AgP2Br. Source: Alexandria, functional PBE.

Cell: 8.7104 3.3265 6.9293 Å, 90.00 106.86 90.00°
Closest atoms and distances in Å follow each position.
Space group Cm (No. 8)
Symmetry-distinct sites (fractional):
Ag1 0.0000 0.0000 0.0000 [2 per cell]  2 P 2.47-2.76, 1 Br 2.70
P1 0.0860 0.0000 0.6472 [2 per cell]  2 P 2.22, 1 Br 2.46
P2 0.2058 0.5000 0.8469 [2 per cell]  2 P 2.22, 1 Ag 2.47
Br1 0.2112 0.0000 0.3715 [2 per cell]  1 P 2.46, 1 Ag 2.70

Calculated values
Formation energy (no corrections) in eV per atom: 0.02
Excess energy over the best structure of this formula in the dataset in meV/atom: 0
Total magnetization in μB/f.u.: 0.00


A relaxed structure of ZrV3Ga. Source: Alexandria, functional PBE.

Cell: 4.5346 4.5346 4.5346 Å, 90.00 90.00 90.00°
Closest atoms and distances in Å follow each position.
Space group Pm-3m (No. 221)
Symmetry-distinct sites (fractional):
Zr1 0.0000 0.0000 0.0000 [1 per cell]  12 V 3.21
V1 0.0000 0.5000 0.5000 [3 per cell]  2 Ga 2.27
Ga1 0.5000 0.5000 0.5000 [1 per cell]  6 V 2.27

Calculated values
Excess energy over the best structure of this formula in the dataset in meV/atom: 0
Total magnetization in μB/f.u.: 0.00


A relaxed structure of AcPa2N. Source: Alexandria, functional PBE.

Cell: 3.1890 3.1890 8.9229 Å, 90.00 90.00 90.00°
Closest atoms and distances in Å follow each position.
Space group P4/mmm (No. 123)
Symmetry-distinct sites (fractional):
Ac1 0.0000 0.0000 0.0000 [1 per cell]  4 Ac 3.19
Pa1 0.5000 0.5000 0.3381 [2 per cell]  4 N 2.68, 1 Pa 2.89
N1 0.0000 0.0000 0.5000 [1 per cell]  8 Pa 2.68

Calculated values
Formation energy (no corrections) in eV per atom: 0.13
Excess energy over the best structure of this formula in the dataset in meV/atom: 615
Total magnetization in μB/f.u.: 0.01


A relaxed structure of TbEr2Tm4Sc. Source: Alexandria, functional PBE.

Cell: 4.9085 4.9085 9.8388 Å, 90.00 90.00 90.00°
Closest atoms and distances in Å follow each position.
Space group P4/mmm (No. 123)
Symmetry-distinct sites (fractional):
Tb1 0.0000 0.0000 0.0000 [1 per cell]  4 Er 3.47, 8 Tm 3.51
Er1 0.0000 0.0000 0.5000 [1 per cell]  8 Tm 3.44, 4 Sc 3.47
Er2 0.5000 0.5000 0.0000 [1 per cell]  4 Tb 3.47, 8 Tm 3.51
Tm1 0.0000 0.5000 0.2549 [4 per cell]  2 Sc 3.44, 4 Er 3.44-3.51, 4 Tm 3.47, 2 Tb 3.51
Sc1 0.5000 0.5000 0.5000 [1 per cell]  8 Tm 3.44, 4 Er 3.47

Calculated values
Raw total energy in eV per atom: -4.7109
Total magnetization in μB/f.u.: 0.00


A relaxed structure of BSb2IF. Source: Alexandria, functional PBE.

Cell: 4.7838 4.7838 5.0780 Å, 90.00 90.00 90.00°
Closest atoms and distances in Å follow each position.
Space group P4/mmm (No. 123)
Symmetry-distinct sites (fractional):
B1 0.0000 0.0000 0.0000 [1 per cell]  4 Sb 2.39, 2 I 2.54
Sb1 0.0000 0.5000 0.0000 [2 per cell]  2 B 2.39
I1 0.0000 0.0000 0.5000 [1 per cell]  2 B 2.54
F1 0.5000 0.5000 0.5000 [1 per cell]  4 I 3.38, 8 Sb 3.49

Calculated values
Formation energy (no corrections) in eV per atom: 0.44
Excess energy over the best structure of this formula in the dataset in meV/atom: 0
Total magnetization in μB/f.u.: 0.00


A relaxed structure of TmTh2Sc7. Source: Alexandria, functional PBE.

Cell: 17.4699 3.4110 9.2741 Å, 90.00 105.88 90.00°
Closest atoms and distances in Å follow each position.
Space group C2/m (No. 12)
Symmetry-distinct sites (fractional):
Tm1 0.0000 0.0000 0.0000 [2 per cell]  2 Th 3.33, 8 Sc 3.39-3.40, 2 Tm 3.41
Th1 0.1979 0.0000 0.1049 [4 per cell]  7 Sc 3.31-3.38, 1 Tm 3.33, 4 Th 3.41-3.45
Sc1 0.0000 0.0000 0.5000 [2 per cell]  12 Sc 3.25-3.41
Sc2 0.0983 0.5000 0.3111 [4 per cell]  8 Sc 3.25-3.41, 2 Th 3.38, 2 Tm 3.39
Sc3 0.1024 0.5000 0.7962 [4 per cell]  7 Sc 3.30-3.41, 3 Th 3.36, 2 Tm 3.40
Sc4 0.1999 0.0000 0.5989 [4 per cell]  10 Sc 3.25-3.41, 2 Th 3.31

Calculated values
Excess energy over the best structure of this formula in the dataset in meV/atom: 0
Total magnetization in μB/f.u.: 0.00


A relaxed structure of Zr3CoRu2. Source: Alexandria, functional PBE.

Cell: 3.2513 3.2513 9.7141 Å, 90.00 90.00 90.00°
Closest atoms and distances in Å follow each position.
Space group P4/mmm (No. 123)
Symmetry-distinct sites (fractional):
Zr1 0.0000 0.0000 0.0000 [1 per cell]  8 Ru 2.83
Zr2 0.0000 0.0000 0.3394 [2 per cell]  4 Co 2.78, 4 Ru 2.83
Co1 0.5000 0.5000 0.5000 [1 per cell]  8 Zr 2.78
Ru1 0.5000 0.5000 0.1698 [2 per cell]  8 Zr 2.83

Calculated values
Raw total energy in eV per atom: -9.0634
Total magnetization in μB/f.u.: 0.03


A relaxed structure of SmHgBr. Source: Alexandria, functional PBE.

Cell: 6.1478 4.2507 7.7006 Å, 90.00 110.17 90.00°
Closest atoms and distances in Å follow each position.
Space group P2_1/m (No. 11)
Symmetry-distinct sites (fractional):
Sm1 0.0587 0.2500 0.2909 [2 per cell]  3 Br 3.00-3.05, 3 Hg 3.05-3.20
Hg1 0.3565 0.7500 0.5476 [2 per cell]  2 Hg 3.01, 3 Sm 3.05-3.20
Br1 0.2263 0.2500 0.9612 [2 per cell]  3 Sm 3.00-3.05

Calculated values
Formation energy (no corrections) in eV per atom: -0.89
Excess energy over the best structure of this formula in the dataset in meV/atom: 93
Total magnetization in μB/f.u.: 0.00